VASP calculation (GGA+U) on Rb2Sr2WO6 after structural relaxation.

Output
* E_tot: -0.225 hartree per atom
* DOS(E_F): 0.000 states/eV/atom
* SG: No. 12

```
Rb2Sr2WO6
1.0
6.0694 0.0578 0.1027
-2.9496 5.3048 0.1027
-1.0657 -1.8318 6.5251
Rb Sr W O
2 2 1 6
Direct
0.8339 0.1661 0.0000
0.1661 0.8339 0.0000
0.3369 0.6631 0.5000
0.6631 0.3369 0.5000
0.0000 0.0000 0.5000
0.7912 0.7912 0.6724
0.0480 0.3221 0.6662
0.2088 0.2088 0.3276
0.3221 0.0480 0.6662
0.9520 0.6779 0.3338
0.6779 0.9520 0.3338
```